[1]
Entry from Alexandria via LeMat-Bulk: YTh12Sc6 after structural relaxation (GGA-PBE).

Cell and atoms, written as extended XYZ:
```
19
Lattice="-7.770 -4.345 -1.638 2.604 -1.584 8.523 -1.208 8.892 -1.182" Properties=species:S:1:pos:R:3 pbc="T T T"
Y 0.000 0.000 0.000
Th -2.854 5.951 -0.686
Th -1.131 -0.245 3.204
Th -5.243 3.208 2.499
Th -3.520 -2.988 6.389
Th 1.144 0.731 6.495
Th -3.365 0.128 0.512
Th -3.009 2.835 5.190
Th -7.518 2.232 -0.793
Th -5.739 -3.220 0.855
Th -1.281 2.802 1.452
Th -5.093 0.161 4.250
Th -0.635 6.183 4.848
Sc -2.475 5.261 2.674
Sc -3.899 -2.298 3.029
Sc -2.090 -0.382 6.036
Sc -4.284 3.345 -0.334
Sc -6.314 0.179 1.023
Sc -0.060 2.785 4.680
```

Properties
Crystal system ... cubic
E_form ... 0.256 eV per atom
Total magnetization ... 0.00 μB per formula unit
SG ... Im-3



[2]
Entry from Alexandria via LeMat-Bulk: NpUBr2 after structural relaxation (GGA-PBE).

Cell and atoms, written as extended XYZ:
```
4
Lattice="-0.934 -3.468 -0.268 2.975 0.930 1.805 -6.607 1.247 6.906" Properties=species:S:1:pos:R:3 pbc="T T T"
Np -2.756 -1.480 4.564
U -2.194 0.096 6.419
Br -4.677 -1.196 7.581
Br -0.301 -0.185 3.446
```

Properties
Crystal system ... monoclinic
Formation energy without anion corrections ... -0.67 eV per atom
Total magnetization ... 1.05 μB per formula unit
SG ... Cm



[3]
Entry from Alexandria via LeMat-Bulk: KNa2Bi after structural relaxation (GGA-PBE).

Cell and atoms, written as extended XYZ:
```
4
Lattice="4.154 0.000 0.000 0.000 4.154 0.000 0.000 0.000 9.032" Properties=species:S:1:pos:R:3 pbc="T T T"
Na 0.000 0.000 7.414
Na 0.000 0.000 1.619
K 2.077 2.077 4.516
Bi 2.077 2.077 0.000
```

Properties
Crystal system ... tetragonal
E_form ... -0.140 eV per atom
Total magnetization ... 0.00 μB per formula unit
SG ... P4/mmm